[1]
Crystalline Li2TcCl at its relaxed geometry. Source: Alexandria via LeMat-Bulk, functional GGA-PBE.

Values from the calculation:
- Size of the total moment: 0.00 μB/cell
- Energy relative to the lowest polymorph listed for this composition: 16 meV/atom
- Uncorrected formation energy: -5.6 kcal/mol of atoms
- Calculated total energy: -17.0 eV per cell
- SG: No. 65
- D(E_F): 2.0 states/eV/cell

Unit cell a=2.8072 b=2.8072 c=7.8851 alpha=90.00 beta=90.00 gamma=105.72
Sites, in units of the cell vectors:
Li  0.0000  0.0000  0.2041
Li  0.0000  0.0000  0.7959
Tc  0.5000  0.5000  0.5000
Cl  0.5000  0.5000  0.0000

=====

[2]
Crystalline LiFeCu2 at its relaxed geometry. Source: Alexandria via LeMat-Bulk, functional GGA-PBE.

Values from the calculation:
- Size of the total moment: 2.78 μB/cell
- Formation energy from the elements: 0.1899 eV/atom
- Calculated total energy: -17.8 eV per cell
- SG: No. 216
- D(E_F): 2.0 states/eV/cell

Unit cell a=4.0793 b=4.0793 c=4.0793 alpha=60.00 beta=60.00 gamma=60.00
Sites, in units of the cell vectors:
Li  0.0000  0.0000  0.0000
Fe  0.2500  0.2500  0.2500
Cu  0.5000  0.5000  0.5000
Cu  0.7500  0.7500  0.7500

=====

[3]
Crystalline VRe3Ni at its relaxed geometry. Source: Alexandria via LeMat-Bulk, functional GGA-PBE.

Values from the calculation:
- Size of the total moment: 0.01 μB/cell
- Energy relative to the lowest polymorph listed for this composition: 0 meV/atom
- Formation energy from the elements: 1.6980 eV/atom
- Calculated total energy: -43.8 eV per cell
- SG: No. 221
- D(E_F): 8.5 states/eV/cell

Unit cell a=4.3829 b=4.3829 c=4.3829 alpha=90.00 beta=90.00 gamma=90.00
Sites, in units of the cell vectors:
V  0.0000  0.0000  0.0000
Re  0.0000  0.5000  0.5000
Re  0.5000  0.0000  0.5000
Re  0.5000  0.5000  0.0000
Ni  0.5000  0.5000  0.5000

=====

[4]
Crystalline CrCdIn2 at its relaxed geometry. Source: Alexandria via LeMat-Bulk, functional GGA-PBE.

Values from the calculation:
- Size of the total moment: 3.77 μB/cell
- Formation energy from the elements: 0.2861 eV/atom
- Calculated total energy: -14.9 eV per cell
- SG: No. 25
- D(E_F): 1.8 states/eV/cell

Unit cell a=3.2154 b=5.1798 c=5.2127 alpha=90.00 beta=90.00 gamma=90.00
Sites, in units of the cell vectors:
Cr  0.0000  0.0000  0.0000
Cd  0.0000  0.5000  0.3359
In  0.5000  0.0000  0.4970
In  0.5000  0.5000  0.8530